The following is a DFT calculation (PBE) of a relaxed SiP2Os crystal.

Cell lengths 7.216, 3.056, 5.804 Å; angles 90.00, 111.59, 90.00 degrees
Fractional positions:
Si1 0.000 0.000 0.000
Si2 0.500 0.500 0.000
P1 0.226 0.500 0.277
P2 0.274 0.000 0.723
P3 0.726 0.000 0.277
P4 0.774 0.500 0.723
Os1 0.000 0.500 0.500
Os2 0.500 0.000 0.500

Properties
* symmetry: C2/m (12)

The following is a DFT calculation (PBE) of a relaxed Si2POs crystal.

Cell lengths 4.256, 4.256, 3.075 Å; angles 90.00, 90.00, 90.00 degrees
Fractional positions:
Si1 0.000 0.500 0.000
Si2 0.500 0.000 0.000
P1 0.000 0.000 0.500
Os1 0.500 0.500 0.500

Properties
* symmetry: P4/mmm (123)

The following is a DFT calculation (PBE) of a relaxed Si2POs crystal.

Cell lengths 5.229, 7.071, 2.890 Å; angles 90.00, 90.00, 90.00 degrees
Fractional positions:
Si1 0.250 0.250 0.000
Si2 0.250 0.750 0.000
Si3 0.750 0.250 0.000
Si4 0.750 0.750 0.000
P1 0.000 0.000 0.500
P2 0.500 0.500 0.500
Os1 0.000 0.500 0.500
Os2 0.500 0.000 0.500

Properties
* symmetry: Cmmm (65)

The following is a DFT calculation (PBE) of a relaxed Si2POs crystal.

Cell lengths 3.606, 3.006, 5.418 Å; angles 90.00, 106.64, 90.00 degrees
Fractional positions:
Si1 0.059 0.000 0.239
Si2 0.941 0.000 0.761
P1 0.500 0.500 0.500
Os1 0.500 0.500 0.000

Properties
* symmetry: P2/m (10)

The following is a DFT calculation (PBE) of a relaxed SiP2Os crystal.

Cell lengths 3.084, 3.084, 20.347 Å; angles 90.00, 90.00, 120.00 degrees
Fractional positions:
Si1 0.000 0.000 0.000
Si2 0.333 0.667 0.667
Si3 0.667 0.333 0.333
P1 0.000 0.000 0.494
P2 0.000 0.000 0.745
P3 0.333 0.667 0.161
P4 0.333 0.667 0.412
P5 0.667 0.333 0.078
P6 0.667 0.333 0.828
Os1 0.000 0.000 0.242
Os2 0.333 0.667 0.909
Os3 0.667 0.333 0.575

Properties
* symmetry: R3m (160)

The following is a DFT calculation (PBE) of a relaxed Si2POs crystal.

Cell lengths 3.029, 3.029, 21.319 Å; angles 90.00, 90.00, 120.00 degrees
Fractional positions:
Si1 0.000 0.000 0.000
Si2 0.000 0.000 0.250
Si3 0.333 0.667 0.667
Si4 0.333 0.667 0.916
Si5 0.667 0.333 0.333
Si6 0.667 0.333 0.583
P1 0.000 0.000 0.750
P2 0.333 0.667 0.417
P3 0.667 0.333 0.083
Os1 0.000 0.000 0.496
Os2 0.333 0.667 0.163
Os3 0.667 0.333 0.830

Properties
* symmetry: R3m (160)

The following is a DFT calculation (PBE) of a relaxed SiP2Os crystal.

Cell lengths 3.553, 3.553, 4.531 Å; angles 90.00, 90.00, 90.00 degrees
Fractional positions:
Si1 0.000 0.000 0.000
P1 0.000 0.500 0.500
P2 0.500 0.000 0.500
Os1 0.500 0.500 0.000

Properties
* symmetry: P4/mmm (123)

The following is a DFT calculation (PBE) of a relaxed SiP2Os crystal.

Cell lengths 3.121, 3.121, 20.192 Å; angles 90.00, 90.00, 120.00 degrees
Fractional positions:
Si1 0.000 0.000 0.000
Si2 0.333 0.667 0.667
Si3 0.667 0.333 0.333
P1 0.000 0.000 0.252
P2 0.000 0.000 0.748
P3 0.333 0.667 0.415
P4 0.333 0.667 0.918
P5 0.667 0.333 0.082
P6 0.667 0.333 0.585
Os1 0.000 0.000 0.500
Os2 0.333 0.667 0.167
Os3 0.667 0.333 0.833

Properties
* symmetry: R-3m (166)

Which energy relative to the elements, uncorrected belongs to each record? In order, 4.31; 11.22; 6.69; 5.55; 2.96; 3.99; 15.88; 5.20 kcal/mol of atoms.